Record 1
Here is Pu2Np3MnP6 after structural relaxation from Alexandria. Energies are from PBE.

Computed properties:
Volume   250.4 Å³ per cell
Electronic total energy   -118.17 eV per formula unit
Energy of formation   -0.755 eV per atom
D(E_F)   36.13 states/eV per cell

a b c (Å): 6.7466 6.7466 6.7565
angles (deg): 99.75 99.75 120.06
Closest atoms and distances in Å follow each position.
Fractional coordinates of all 12 atoms:
Pu: 0.1650 0.8350 0.0000  6 P 2.76-2.77
Pu: 0.8350 0.1650 0.0000  6 P 2.76-2.77
Np: 0.0000 0.0000 0.5000  6 P 2.76-2.82
Np: 0.3290 0.6710 0.5000  6 P 2.76-2.83
Np: 0.6710 0.3290 0.5000  6 P 2.76-2.83
Mn: 0.5000 0.5000 0.0000  6 P 2.63-2.71
P: 0.1007 0.4212 0.7622  1 Mn 2.63, 2 Pu 2.76, 3 Np 2.76-2.83
P: 0.2604 0.2604 0.2504  1 Mn 2.71, 3 Np 2.76-2.82, 2 Pu 2.77
P: 0.4212 0.1007 0.7622  1 Mn 2.63, 2 Pu 2.76, 3 Np 2.76-2.83
P: 0.5788 0.8993 0.2378  1 Mn 2.63, 2 Pu 2.76, 3 Np 2.76-2.83
P: 0.7396 0.7396 0.7496  1 Mn 2.71, 3 Np 2.76-2.82, 2 Pu 2.77
P: 0.8993 0.5788 0.2378  1 Mn 2.63, 2 Pu 2.76, 3 Np 2.76-2.83

=====

Record 2
Here is Sr2TbAg2Se4 after structural relaxation from Alexandria. Energies are from PBE.

Computed properties:
Volume   232.6 Å³ per cell
Electronic total energy   -39.16 eV per formula unit
D(E_F)   2.23 states/eV per cell

a b c (Å): 8.2426 8.2426 7.8803
angles (deg): 114.66 114.66 28.78
Closest atoms and distances in Å follow each position.
Fractional coordinates of all 9 atoms:
Sr: 0.1370 0.1370 0.0851  7 Se 3.14-3.43, 1 Ag 3.23
Sr: 0.8630 0.8630 0.9149  7 Se 3.14-3.43, 1 Ag 3.23
Tb: 0.0000 0.0000 0.5000  6 Se 2.90-2.96
Ag: 0.3128 0.3128 0.4928  3 Se 2.69-2.78, 2 Ag 2.90
Ag: 0.6872 0.6872 0.5072  3 Se 2.69-2.78, 2 Ag 2.90
Se: 0.1961 0.1961 0.7532  2 Ag 2.78, 1 Tb 2.90
Se: 0.4884 0.4884 0.7605  1 Ag 2.69, 2 Tb 2.96
Se: 0.5116 0.5116 0.2395  1 Ag 2.69, 2 Tb 2.96
Se: 0.8039 0.8039 0.2468  2 Ag 2.78, 1 Tb 2.90

=====

Record 3
Here is HF after structural relaxation from Alexandria. Energies are from PBE.

Computed properties:
Volume   37.3 Å³ per cell
Electronic total energy   -8.26 eV per formula unit
D(E_F)   0.00 states/eV per cell

a b c (Å): 2.4953 3.3049 4.5203
angles (deg): 90.00 90.16 90.00
Closest atoms and distances in Å follow each position.
Fractional coordinates of all 4 atoms:
H: 0.1639 0.2500 0.2517  1 F 0.97
H: 0.8361 0.7500 0.7483  1 F 0.97
F: 0.2232 0.7500 0.7499  1 H 0.97
F: 0.7768 0.2500 0.2501  1 H 0.97

=====

Record 4
Here is Tb3Al7Ga2 after structural relaxation from Alexandria. Energies are from PBE.

Computed properties:
Volume   241.6 Å³ per cell
Electronic total energy   -50.97 eV per formula unit
Energy of formation   -0.402 eV per atom
D(E_F)   3.76 states/eV per cell

a b c (Å): 4.2419 4.1118 14.0104
angles (deg): 90.00 98.67 90.00
Closest atoms and distances in Å follow each position.
Fractional coordinates of all 12 atoms:
Tb: 0.0000 0.0000 0.0000  12 Al 2.95-3.10
Tb: 0.3186 0.5000 0.6377  4 Ga 3.18-3.19, 10 Al 3.22-3.50
Tb: 0.6814 0.5000 0.3623  4 Ga 3.18-3.19, 10 Al 3.22-3.50
Al: 0.0789 0.5000 0.1621  2 Ga 2.60
Al: 0.2280 0.0000 0.4554  2 Al 2.45-2.46, 1 Ga 2.48
Al: 0.4181 0.0000 0.8371  2 Ga 2.64-2.65, 2 Al 2.95
Al: 0.5000 0.5000 0.0000  4 Tb 2.95, 8 Al 3.05-3.09
Al: 0.5819 0.0000 0.1629  2 Ga 2.64-2.65, 2 Al 2.95
Al: 0.7720 0.0000 0.5446  2 Al 2.45-2.46, 1 Ga 2.48
Al: 0.9211 0.5000 0.8379  2 Ga 2.60
Ga: 0.1397 0.0000 0.2766  5 Al 2.48-2.65
Ga: 0.8603 0.0000 0.7234  5 Al 2.48-2.65